A plane-wave DFT calculation with PBE-GGA was carried out for a relaxed structure of TlNiIr2.

Results
* energy above the most stable polymorph in this dataset: 179 meV per atom
* E_form: 0.53 eV per atom

Cell: 6.314 6.314 6.314 Å, 90.00 90.00 90.00°
Space group Fm-3m (No. 225)
One atom of each set of equivalent atoms:
Tl1 0.000 0.000 0.000
Ni1 0.000 0.000 0.500
Ir1 0.250 0.250 0.250